#one
# Zn4CuAu, optimized geometry, DFT PBE
data_Zn4CuAu
_chemical_formula_sum 'Zn4 Cu1 Au1'
_symmetry_space_group_name_H-M 'P 1'
_symmetry_Int_Tables_number 1
_cell_length_a 4.446
_cell_length_b 4.446
_cell_length_c 5.499
_cell_angle_alpha 102.98
_cell_angle_beta 102.98
_cell_angle_gamma 109.08
loop_
_symmetry_equiv_pos_as_xyz
'x,y,z'
loop_
_atom_site_label
_atom_site_fract_x
_atom_site_fract_y
_atom_site_fract_z
_atom_site_occupancy
Zn1 0.059 0.438 0.234 1
Zn2 0.438 0.059 0.234 1
Zn3 0.562 0.941 0.766 1
Zn4 0.941 0.562 0.766 1
Cu1 0.500 0.500 0.000 1
Au1 0.000 0.000 0.500 1
# D(E_F) in states/eV/f.u.: 1.81

#two
# Zn4CuAu, optimized geometry, DFT PBE
data_Zn4CuAu
_chemical_formula_sum 'Zn4 Cu1 Au1'
_symmetry_space_group_name_H-M 'P 1'
_symmetry_Int_Tables_number 1
_cell_length_a 4.757
_cell_length_b 4.757
_cell_length_c 4.731
_cell_angle_alpha 98.81
_cell_angle_beta 98.81
_cell_angle_gamma 119.89
loop_
_symmetry_equiv_pos_as_xyz
'x,y,z'
loop_
_atom_site_label
_atom_site_fract_x
_atom_site_fract_y
_atom_site_fract_z
_atom_site_occupancy
Zn1 0.162 0.838 0.000 1
Zn2 0.329 0.671 0.500 1
Zn3 0.671 0.329 0.500 1
Zn4 0.838 0.162 0.000 1
Cu1 0.000 0.000 0.500 1
Au1 0.500 0.500 0.000 1
# D(E_F) in states/eV/f.u.: 1.35

#three
# Zn4CuAu, optimized geometry, DFT PBE
data_Zn4CuAu
_chemical_formula_sum 'Zn4 Cu1 Au1'
_symmetry_space_group_name_H-M 'P 1'
_symmetry_Int_Tables_number 1
_cell_length_a 5.007
_cell_length_b 5.007
_cell_length_c 5.007
_cell_angle_alpha 60.00
_cell_angle_beta 60.00
_cell_angle_gamma 60.00
loop_
_symmetry_equiv_pos_as_xyz
'x,y,z'
loop_
_atom_site_label
_atom_site_fract_x
_atom_site_fract_y
_atom_site_fract_z
_atom_site_occupancy
Zn1 0.125 0.125 0.125 1
Zn2 0.125 0.125 0.624 1
Zn3 0.125 0.624 0.125 1
Zn4 0.624 0.125 0.125 1
Cu1 0.500 0.500 0.500 1
Au1 0.750 0.750 0.750 1
# D(E_F) in states/eV/f.u.: 1.51

The computed energies, referenced to the most stable structure and given in meV/atom, are #one 27; #two 0; #three 93.

#one
# Zn3CuAu6, optimized geometry, DFT PBE
data_Zn3CuAu6
_chemical_formula_sum 'Zn6 Cu2 Au12'
_symmetry_space_group_name_H-M 'P 1'
_symmetry_Int_Tables_number 1
_cell_length_a 7.304
_cell_length_b 7.304
_cell_length_c 7.304
_cell_angle_alpha 103.26
_cell_angle_beta 103.26
_cell_angle_gamma 103.26
loop_
_symmetry_equiv_pos_as_xyz
'x,y,z'
loop_
_atom_site_label
_atom_site_fract_x
_atom_site_fract_y
_atom_site_fract_z
_atom_site_occupancy
Zn1 0.072 0.246 0.343 1
Zn2 0.246 0.343 0.072 1
Zn3 0.343 0.072 0.246 1
Zn4 0.657 0.928 0.754 1
Zn5 0.754 0.657 0.928 1
Zn6 0.928 0.754 0.657 1
Cu1 0.000 0.000 0.000 1
Cu2 0.500 0.500 0.500 1
Au1 0.032 0.148 0.680 1
Au2 0.148 0.680 0.032 1
Au3 0.196 0.541 0.657 1
Au4 0.320 0.968 0.852 1
Au5 0.343 0.804 0.459 1
Au6 0.459 0.343 0.804 1
Au7 0.541 0.657 0.196 1
Au8 0.657 0.196 0.541 1
Au9 0.680 0.032 0.148 1
Au10 0.804 0.459 0.343 1
Au11 0.852 0.320 0.968 1
Au12 0.968 0.852 0.320 1
# D(E_F) in states/eV/f.u.: 3.16

#two
# Zn3CuAu6, optimized geometry, DFT PBE
data_Zn3CuAu6
_chemical_formula_sum 'Zn6 Cu2 Au12'
_symmetry_space_group_name_H-M 'P 1'
_symmetry_Int_Tables_number 1
_cell_length_a 7.617
_cell_length_b 4.649
_cell_length_c 9.967
_cell_angle_alpha 90.00
_cell_angle_beta 110.96
_cell_angle_gamma 90.00
loop_
_symmetry_equiv_pos_as_xyz
'x,y,z'
loop_
_atom_site_label
_atom_site_fract_x
_atom_site_fract_y
_atom_site_fract_z
_atom_site_occupancy
Zn1 0.092 0.250 0.228 1
Zn2 0.296 0.250 0.025 1
Zn3 0.318 0.750 0.376 1
Zn4 0.682 0.250 0.624 1
Zn5 0.704 0.750 0.975 1
Zn6 0.908 0.750 0.772 1
Cu1 0.114 0.750 0.575 1
Cu2 0.886 0.250 0.425 1
Au1 0.067 0.250 0.710 1
Au2 0.104 0.750 0.076 1
Au3 0.270 0.250 0.517 1
Au4 0.291 0.750 0.865 1
Au5 0.486 0.250 0.330 1
Au6 0.493 0.250 0.832 1
Au7 0.507 0.750 0.168 1
Au8 0.514 0.750 0.670 1
Au9 0.709 0.250 0.135 1
Au10 0.730 0.750 0.483 1
Au11 0.896 0.250 0.924 1
Au12 0.933 0.750 0.290 1
# D(E_F) in states/eV/f.u.: 2.77

The computed energies, referenced to the most stable structure and given in meV/atom, are #one 83; #two 0.

#one
# Zn2Cu4Au3, optimized geometry, DFT PBE
data_Zn2Cu4Au3
_chemical_formula_sum 'Zn2 Cu4 Au3'
_symmetry_space_group_name_H-M 'P 1'
_symmetry_Int_Tables_number 1
_cell_length_a 4.459
_cell_length_b 4.970
_cell_length_c 6.913
_cell_angle_alpha 73.70
_cell_angle_beta 79.86
_cell_angle_gamma 63.43
loop_
_symmetry_equiv_pos_as_xyz
'x,y,z'
loop_
_atom_site_label
_atom_site_fract_x
_atom_site_fract_y
_atom_site_fract_z
_atom_site_occupancy
Zn1 0.220 0.036 0.328 1
Zn2 0.780 0.964 0.672 1
Cu1 0.129 0.268 0.661 1
Cu2 0.317 0.863 0.999 1
Cu3 0.683 0.137 0.001 1
Cu4 0.871 0.732 0.339 1
Au1 0.000 0.500 0.000 1
Au2 0.462 0.620 0.675 1
Au3 0.538 0.380 0.325 1
# D(E_F) in states/eV/f.u.: 1.49

#two
# Zn2Cu4Au3, optimized geometry, DFT PBE
data_Zn2Cu4Au3
_chemical_formula_sum 'Zn4 Cu8 Au6'
_symmetry_space_group_name_H-M 'P 1'
_symmetry_Int_Tables_number 1
_cell_length_a 7.711
_cell_length_b 7.711
_cell_length_c 4.711
_cell_angle_alpha 96.94
_cell_angle_beta 96.94
_cell_angle_gamma 72.76
loop_
_symmetry_equiv_pos_as_xyz
'x,y,z'
loop_
_atom_site_label
_atom_site_fract_x
_atom_site_fract_y
_atom_site_fract_z
_atom_site_occupancy
Zn1 0.010 0.754 0.705 1
Zn2 0.246 0.990 0.795 1
Zn3 0.754 0.010 0.205 1
Zn4 0.990 0.246 0.295 1
Cu1 0.099 0.352 0.864 1
Cu2 0.320 0.570 0.965 1
Cu3 0.352 0.099 0.364 1
Cu4 0.430 0.680 0.535 1
Cu5 0.570 0.320 0.465 1
Cu6 0.648 0.901 0.636 1
Cu7 0.680 0.430 0.035 1
Cu8 0.901 0.648 0.136 1
Au1 0.123 0.877 0.250 1
Au2 0.212 0.462 0.412 1
Au3 0.462 0.212 0.912 1
Au4 0.538 0.788 0.088 1
Au5 0.788 0.538 0.588 1
Au6 0.877 0.123 0.750 1
# D(E_F) in states/eV/f.u.: 3.02

The computed energies, referenced to the most stable structure and given in meV/atom, are #one 0; #two 10.

#one
# Zn5Cu2Au, optimized geometry, DFT PBE
data_Zn5Cu2Au
_chemical_formula_sum 'Zn10 Cu4 Au2'
_symmetry_space_group_name_H-M 'P 1'
_symmetry_Int_Tables_number 1
_cell_length_a 7.112
_cell_length_b 7.112
_cell_length_c 7.112
_cell_angle_alpha 123.88
_cell_angle_beta 123.88
_cell_angle_gamma 83.39
loop_
_symmetry_equiv_pos_as_xyz
'x,y,z'
loop_
_atom_site_label
_atom_site_fract_x
_atom_site_fract_y
_atom_site_fract_z
_atom_site_occupancy
Zn1 0.000 0.000 0.000 1
Zn2 0.004 0.504 0.198 1
Zn3 0.193 0.996 0.500 1
Zn4 0.307 0.807 0.802 1
Zn5 0.496 0.693 0.500 1
Zn6 0.500 0.500 0.000 1
Zn7 0.504 0.307 0.500 1
Zn8 0.693 0.193 0.198 1
Zn9 0.807 0.004 0.500 1
Zn10 0.996 0.496 0.802 1
Cu1 0.138 0.362 0.500 1
Cu2 0.362 0.862 0.224 1
Cu3 0.638 0.138 0.776 1
Cu4 0.862 0.638 0.500 1
Au1 0.250 0.250 0.000 1
Au2 0.750 0.750 0.000 1
# D(E_F) in states/eV/f.u.: 2.07

#two
# Zn5Cu2Au, optimized geometry, DFT PBE
data_Zn5Cu2Au
_chemical_formula_sum 'Zn5 Cu2 Au1'
_symmetry_space_group_name_H-M 'P 1'
_symmetry_Int_Tables_number 1
_cell_length_a 6.723
_cell_length_b 6.298
_cell_length_c 4.579
_cell_angle_alpha 74.47
_cell_angle_beta 64.51
_cell_angle_gamma 41.01
loop_
_symmetry_equiv_pos_as_xyz
'x,y,z'
loop_
_atom_site_label
_atom_site_fract_x
_atom_site_fract_y
_atom_site_fract_z
_atom_site_occupancy
Zn1 0.000 0.000 0.000 1
Zn2 0.133 0.133 0.367 1
Zn3 0.367 0.367 0.133 1
Zn4 0.633 0.633 0.867 1
Zn5 0.867 0.867 0.633 1
Cu1 0.246 0.246 0.754 1
Cu2 0.754 0.754 0.246 1
Au1 0.500 0.500 0.500 1
# D(E_F) in states/eV/f.u.: 2.03

The computed energies, referenced to the most stable structure and given in meV/atom, are #one 56; #two 0.

#one
# Zn2Cu3Au4, optimized geometry, DFT PBE
data_Zn2Cu3Au4
_chemical_formula_sum 'Zn2 Cu3 Au4'
_symmetry_space_group_name_H-M 'P 1'
_symmetry_Int_Tables_number 1
_cell_length_a 3.988
_cell_length_b 4.717
_cell_length_c 8.328
_cell_angle_alpha 76.57
_cell_angle_beta 89.87
_cell_angle_gamma 65.17
loop_
_symmetry_equiv_pos_as_xyz
'x,y,z'
loop_
_atom_site_label
_atom_site_fract_x
_atom_site_fract_y
_atom_site_fract_z
_atom_site_occupancy
Zn1 0.178 0.143 0.233 1
Zn2 0.822 0.857 0.767 1
Cu1 0.160 0.178 0.547 1
Cu2 0.500 0.500 0.000 1
Cu3 0.840 0.822 0.453 1
Au1 0.165 0.171 0.889 1
Au2 0.485 0.529 0.667 1
Au3 0.515 0.471 0.333 1
Au4 0.835 0.829 0.111 1
# D(E_F) in states/eV/f.u.: 2.23

#two
# Zn2Cu3Au4, optimized geometry, DFT PBE
data_Zn2Cu3Au4
_chemical_formula_sum 'Zn2 Cu3 Au4'
_symmetry_space_group_name_H-M 'P 1'
_symmetry_Int_Tables_number 1
_cell_length_a 6.291
_cell_length_b 6.291
_cell_length_c 6.282
_cell_angle_alpha 107.36
_cell_angle_beta 107.36
_cell_angle_gamma 35.81
loop_
_symmetry_equiv_pos_as_xyz
'x,y,z'
loop_
_atom_site_label
_atom_site_fract_x
_atom_site_fract_y
_atom_site_fract_z
_atom_site_occupancy
Zn1 0.162 0.162 0.497 1
Zn2 0.838 0.838 0.503 1
Cu1 0.391 0.391 0.833 1
Cu2 0.500 0.500 0.500 1
Cu3 0.609 0.609 0.167 1
Au1 0.047 0.047 0.819 1
Au2 0.273 0.273 0.188 1
Au3 0.727 0.727 0.812 1
Au4 0.953 0.953 0.181 1
# D(E_F) in states/eV/f.u.: 2.67

The computed energies, referenced to the most stable structure and given in meV/atom, are #one 0; #two 16.